The following is a DFT calculation (PBE) of a relaxed structure of ErMgHgPt.

Cell and atoms, written as POSCAR:
```
ErMgHgPt
1.0
-1.6403 -4.5923 -0.1933
3.0250 -3.7131 0.9375
-0.5088 -2.5844 4.1084
Mg Hg Pt Er
1 1 1 1
Direct
0.5000 0.5000 0.5000
0.2500 0.2500 0.2500
0.7500 0.7500 0.7500
0.0000 0.0000 0.0000
```

The following is a DFT calculation (PBE) of a relaxed structure of Pm8InIr5.

Cell and atoms, written as POSCAR:
```
Pm8InIr5
1.0
7.2938 0.0000 -2.6183
-3.5870 6.3724 -2.5651
-0.1198 0.0000 7.7485
Pm In Ir
8 1 5
Direct
0.1118 0.7586 0.0116
0.9884 0.1002 0.7470
0.7346 0.2445 0.3696
0.6304 0.3650 0.8749
0.5100 0.6350 0.2654
0.6468 0.8998 0.8882
0.2530 0.2414 0.3532
0.1251 0.7555 0.4900
0.2500 0.5000 0.7500
0.0122 0.3814 0.1219
0.8781 0.8903 0.2595
0.7405 0.6186 0.6308
0.5000 0.0000 0.5000
0.3692 0.1097 0.9878
```

The following is a DFT calculation (PBE) of a relaxed structure of AcLa4Pr4.

Cell and atoms, written as POSCAR:
```
AcLa4Pr4
1.0
-4.6506 2.4340 -0.8818
-3.2218 -2.9347 -7.1724
-6.0913 -4.5161 3.5966
Ac La Pr
1 4 4
Direct
0.0000 0.0000 0.0000
0.6688 0.6620 0.0003
0.3312 0.3380 0.9997
0.6692 0.9997 0.6620
0.3308 0.0003 0.3380
0.6640 0.3359 0.3360
0.3360 0.6641 0.6640
0.0001 0.6640 0.3359
0.9999 0.3360 0.6641
```

The following is a DFT calculation (PBE) of a relaxed structure of Ce5Pm2Os4.

Cell and atoms, written as POSCAR:
```
Ce5Pm2Os4
1.0
-4.0035 4.9517 0.2242
-4.9615 0.3365 -5.4907
-5.7305 -0.7129 3.9554
Ce Pm Os
5 2 4
Direct
0.2541 0.1753 0.8101
0.7459 0.8247 0.1899
0.0000 0.5000 0.5000
0.7605 0.1753 0.8101
0.2395 0.8247 0.1899
0.3036 0.7033 0.6894
0.6964 0.2967 0.3106
0.2842 0.1114 0.3202
0.7158 0.8886 0.6798
0.7780 0.5187 0.9253
0.2220 0.4813 0.0747
```

HfGa2Tc PBE optimized geometry; distance to the lowest polymorph of the same formula = 0.122 eV/atom
1.0
-2.5123 1.8436 -0.4871
-0.8620 -1.8167 -2.4298
-3.5464 -3.7578 4.0678
Hf Tc Ga
1 1 2
Direct
0.5000 0.5000 0.5000
0.5000 0.5000 0.0000
0.0000 0.0000 0.7870
0.0000 0.0000 0.2130

The following is a DFT calculation (PBE) of a relaxed structure of Li2In8Pb.

Cell and atoms, written as POSCAR:
```
Li2In8Pb
1.0
-7.9546 -0.2469 -3.3608
3.1759 -6.9457 2.5119
1.7925 6.1785 4.8220
Li In Pb
2 8 1
Direct
0.0000 0.6358 0.3642
0.0000 0.3642 0.6358
0.8512 0.8974 0.1964
0.8512 0.1964 0.8974
0.3243 0.5072 0.5072
0.5000 0.2734 0.7266
0.5000 0.7266 0.2734
0.6757 0.4928 0.4928
0.1488 0.8036 0.1026
0.1488 0.1026 0.8036
0.5000 0.0000 0.0000
```

Mg5Tc PBE optimized geometry; distance to the lowest polymorph of the same formula = 0.031 eV/atom
1.0
0.6453 2.9348 -0.5474
-1.2976 -1.7094 -2.1733
-13.5187 3.9051 4.9996
Mg Tc
5 1
Direct
0.3333 0.6667 0.6452
0.3333 0.6667 0.0000
0.3333 0.6667 0.3548
0.0000 0.0000 0.8239
0.0000 0.0000 0.1761
0.0000 0.0000 0.5000

KZnPb2 PBE optimized geometry; distance to the lowest polymorph of the same formula = 0.075 eV/atom
1.0
5.3628 0.0124 0.0128
4.1152 3.4388 0.0128
1.0708 0.3899 7.1647
K Pb Zn
1 2 1
Direct
0.2428 0.2428 0.2601
0.0072 0.0072 0.9467
0.7557 0.7557 0.7116
0.4944 0.4944 0.5816

NaB2I8 PBE optimized geometry; distance to the lowest polymorph of the same formula = 0.000 eV/atom; E_form (uncorrected) = -17.9 kJ per mole of atoms
1.0
-3.2478 0.3817 6.0047
-5.1124 -7.7109 0.7718
5.3933 -4.2691 6.2353
Na B I
1 2 8
Direct
0.0000 0.0000 0.0000
0.7322 0.7932 0.7932
0.2678 0.2068 0.2068
0.2270 0.2741 0.9731
0.7730 0.0269 0.7259
0.4201 0.7760 0.7760
0.5799 0.2240 0.2240
0.2270 0.9731 0.2741
0.7730 0.7259 0.0269
0.9966 0.6333 0.6333
0.0034 0.3667 0.3667

ScNbOF2 PBE optimized geometry; distance to the lowest polymorph of the same formula = 0.225 eV/atom; E_form (uncorrected) = -161.5 kJ per mole of atoms
1.0
4.3631 0.0000 0.0000
0.0000 4.3631 0.0000
0.0000 0.0000 4.0126
Sc Nb O F
1 1 1 2
Direct
0.5000 0.5000 0.5000
0.0000 0.0000 0.0000
0.0000 0.0000 0.5000
0.0000 0.5000 0.0000
0.5000 0.0000 0.0000

Pr2MoSe5 PBE optimized geometry; E_form (uncorrected) = -102.8 kJ per mole of atoms
1.0
-1.8550 4.0140 -5.7652
-3.5944 -5.6656 -2.7880
-0.6156 2.0102 6.1759
Pr Mo Se
2 1 5
Direct
0.3011 0.8011 0.6021
0.8011 0.3011 0.6021
0.9393 0.9393 0.8786
0.7818 0.2543 0.0361
0.2542 0.2542 0.0359
0.7816 0.7816 0.0359
0.2543 0.7818 0.0361
0.6636 0.6636 0.3273

Ta8Nb2W PBE optimized geometry; distance to the lowest polymorph of the same formula = 0.000 eV/atom
1.0
-1.3301 5.1590 0.3761
-7.6153 -0.4983 -1.2246
-6.5481 -0.6084 4.0612
Ta Nb W
8 2 1
Direct
0.0715 0.0903 0.5851
0.0715 0.5851 0.0903
0.9285 0.9097 0.4149
0.2559 0.4999 0.4999
0.9285 0.4149 0.9097
0.4562 0.1006 0.1006
0.5438 0.8994 0.8994
0.7441 0.5001 0.5001
0.5650 0.3054 0.3054
0.4350 0.6946 0.6946
0.0000 0.0000 0.0000

Si2TeIr PBE optimized geometry; E_form (uncorrected) = 52.0 kJ per mole of atoms
1.0
-0.3659 2.2196 4.1998
0.5943 -3.7639 2.8598
2.9501 1.2621 -3.5218
Ir Si Te
1 2 1
Direct
0.7500 0.2500 0.5000
0.0000 0.0000 0.0000
0.2500 0.7500 0.5000
0.5000 0.5000 0.0000

The following is a DFT calculation (PBE) of a relaxed structure of La2PRh.

Cell and atoms, written as POSCAR:
```
La2PRh
1.0
4.2314 0.0000 0.0000
0.0000 4.2314 0.0000
0.0000 0.0000 5.9651
La P Rh
2 1 1
Direct
0.0000 0.0000 0.8748
0.5000 0.5000 0.3753
0.0000 0.0000 0.3747
0.5000 0.5000 0.8752
```

The following is a DFT calculation (PBE) of a relaxed structure of NdSm2Ni6.

Cell and atoms, written as POSCAR:
```
NdSm2Ni6
1.0
3.9437 0.0000 0.0000
0.0000 6.0146 -3.4725
0.0000 0.0000 6.9451
Nd Sm Ni
1 2 6
Direct
0.0000 0.0000 0.0000
0.0000 0.3333 0.6667
0.0000 0.6667 0.3333
0.5000 0.3341 0.3341
0.5000 0.6659 0.6659
0.5000 0.0000 0.6659
0.5000 0.6659 0.0000
0.5000 0.3341 0.0000
0.5000 0.0000 0.3341
```

The following is a DFT calculation (PBE) of a relaxed structure of Cs2P2H5.

Cell and atoms, written as POSCAR:
```
Cs2P2H5
1.0
6.2734 0.0000 0.0000
0.0000 6.1109 0.0000
-3.1367 -3.0554 9.2344
Cs P H
4 4 10
Direct
0.1343 0.6582 0.2646
0.8657 0.3936 0.7354
0.6304 0.1582 0.2646
0.3696 0.8936 0.7354
0.0000 0.9994 0.0000
0.5000 0.4994 0.0000
0.2592 0.3091 0.5000
0.7408 0.8091 0.5000
0.3338 0.6620 0.9972
0.6662 0.6648 0.0028
0.1633 0.1620 0.9972
0.8367 0.1648 0.0028
0.2119 0.1746 0.3343
0.7881 0.8403 0.6657
0.6224 0.6746 0.3343
0.3776 0.3403 0.6657
0.8949 0.6339 0.5000
0.1051 0.1339 0.5000
```

The following is a DFT calculation (PBE) of a relaxed structure of La7Dy2Y3.

Cell and atoms, written as POSCAR:
```
La7Dy2Y3
1.0
3.5873 0.0000 0.0000
0.0000 6.5014 0.8093
0.0000 2.5833 18.2087
La Dy Y
7 2 3
Direct
0.5000 0.2298 0.5082
0.5000 0.7702 0.4918
0.0000 0.5572 0.1681
0.0000 0.0000 0.0000
0.0000 0.4428 0.8319
0.5000 0.9473 0.8278
0.5000 0.0527 0.1722
0.5000 0.6130 0.3306
0.5000 0.3870 0.6694
0.5000 0.5000 0.0000
0.0000 0.1192 0.3377
0.0000 0.8808 0.6623
```

BaP2Au PBE optimized geometry; distance to the lowest polymorph of the same formula = 0.133 eV/atom
1.0
4.9493 0.0000 0.0000
0.0000 4.9493 0.0000
2.4746 2.4746 8.6529
P Au Ba
4 2 2
Direct
0.8149 0.1250 0.2500
0.9351 0.6250 0.2500
0.3750 0.1851 0.7500
0.8750 0.0649 0.7500
0.0000 0.0000 0.0000
0.7500 0.2500 0.5000
0.5000 0.5000 0.0000
0.2500 0.7500 0.5000

KCe2BO5 PBE optimized geometry; E_form (uncorrected) = -263.0 kJ per mole of atoms
1.0
6.8192 0.0000 0.0000
0.0000 6.8192 0.0000
-3.4096 -3.4096 5.0003
K Ce B O
2 4 2 10
Direct
0.2500 0.2500 0.5000
0.7500 0.7500 0.5000
0.1859 0.3141 0.0000
0.6859 0.1859 0.0000
0.3141 0.8141 0.0000
0.8141 0.6859 0.0000
0.2500 0.7500 0.5000
0.7500 0.2500 0.5000
0.0323 0.5323 0.3072
0.7251 0.2251 0.6928
0.9677 0.4677 0.6928
0.2251 0.9677 0.6928
0.4677 0.7251 0.6928
0.7749 0.0323 0.3072
0.5323 0.2749 0.3072
0.2749 0.7749 0.3072
0.5000 0.5000 0.0000
0.0000 0.0000 0.0000

The following is a DFT calculation (PBE) of a relaxed structure of ScNb5C6.

Cell and atoms, written as POSCAR:
```
ScNb5C6
1.0
5.4660 0.1340 0.8308
1.3429 4.6426 2.7062
0.0924 0.0549 5.5286
Sc Nb C
1 5 6
Direct
0.0000 0.0000 0.0000
0.5000 0.1640 0.6720
0.0000 0.3339 0.3321
0.5000 0.5000 0.0000
0.0000 0.6661 0.6679
0.5000 0.8360 0.3280
0.7462 0.0845 0.3352
0.2538 0.5802 0.3352
0.2500 0.2514 0.0000
0.7500 0.7486 0.0000
0.7462 0.4198 0.6648
0.2538 0.9155 0.6648
```

Computed V (Å³ per cell) in order:
82.2; 358.1; 337.2; 264.5; 65.4; 284.8; 120.7; 131.7; 540.0; 76.4; 212.3; 205.1; 69.6; 106.8; 164.7; 354.0; 417.2; 212.0; 232.5; 138.2
Computed energy (eV/cell) in order:
-15.35; -92.71; -42.79; -84.33; -27.29; -30.09; -17.37; -9.63; -29.12; -33.47; -46.34; -126.27; -20.69; -26.79; -51.91; -60.55; -62.34; -35.57; -137.93; -118.61